No. 1
This record from Alexandria describes crystalline Pa2AlSiIr6 at its relaxed geometry. The functional is GGA-PBE.

```
data_Pa2AlSiIr6
_cell_length_a 9.589
_cell_length_b 5.542
_cell_length_c 7.884
_cell_angle_alpha 90.00
_cell_angle_beta 113.75
_cell_angle_gamma 90.00
_space_group_name_H-M_alt 'C 1 2/m 1'
_space_group_IT_number 12
loop_
_space_group_symop_operation_xyz
'x,y,z'
'-x,-y,-z'
'-x,y,-z'
'x,-y,z'
'x+1/2,y+1/2,z'
'-x+1/2,-y+1/2,-z'
'-x+1/2,y+1/2,-z'
'x+1/2,-y+1/2,z'
loop_
_atom_site_label
_atom_site_type_symbol
_atom_site_fract_x
_atom_site_fract_y
_atom_site_fract_z
_atom_site_occupancy
Pa1 Pa 0.208 0.000 0.123 1
Al1 Al 0.000 0.500 0.000 1
Si1 Si 0.000 0.000 0.500 1
Ir1 Ir 0.005 0.254 0.261 1
Ir2 Ir 0.249 0.000 0.739 1
```

Calculated values
The total energy is -8.7026 eV per atom. The crystal system is monoclinic. The formation energy without anion corrections comes out at -0.5703 eV/atom.


No. 2
This record from Alexandria describes crystalline AlIrPb2 at its relaxed geometry. The functional is GGA-PBE.

```
data_AlIrPb2
_cell_length_a 7.207
_cell_length_b 4.163
_cell_length_c 7.173
_cell_angle_alpha 90.00
_cell_angle_beta 109.19
_cell_angle_gamma 90.00
_space_group_name_H-M_alt 'C 1 m 1'
_space_group_IT_number 8
loop_
_space_group_symop_operation_xyz
'x,y,z'
'x,-y,z'
'x+1/2,y+1/2,z'
'x+1/2,-y+1/2,z'
loop_
_atom_site_label
_atom_site_type_symbol
_atom_site_fract_x
_atom_site_fract_y
_atom_site_fract_z
_atom_site_occupancy
Al1 Al 0.000 0.000 0.000 1
Ir1 Ir 0.334 0.000 0.002 1
Pb1 Pb 0.071 0.500 0.709 1
Pb2 Pb 0.261 0.500 0.290 1
```

Calculated values
The total energy is -5.1049 eV per atom. The crystal system is monoclinic.


No. 3
This record from Alexandria describes crystalline AlIrPb at its relaxed geometry. The functional is GGA-PBE.

```
data_AlIrPb
_cell_length_a 6.320
_cell_length_b 6.320
_cell_length_c 6.320
_cell_angle_alpha 90.00
_cell_angle_beta 90.00
_cell_angle_gamma 90.00
_space_group_name_H-M_alt 'F -4 3 m'
_space_group_IT_number 216
_space_group_name_Hall 'F -4 2 3'
loop_
_atom_site_label
_atom_site_type_symbol
_atom_site_fract_x
_atom_site_fract_y
_atom_site_fract_z
_atom_site_occupancy
Al1 Al 0.000 0.000 0.000 1
Ir1 Ir 0.250 0.250 0.750 1
Pb1 Pb 0.000 0.000 0.500 1
```

Calculated values
The total energy is -5.5396 eV per atom. The crystal system is cubic.


No. 4
This record from Alexandria describes crystalline AlIr2Pb2 at its relaxed geometry. The functional is GGA-PBE.

```
data_AlIr2Pb2
_cell_length_a 6.598
_cell_length_b 6.598
_cell_length_c 4.724
_cell_angle_alpha 90.00
_cell_angle_beta 90.00
_cell_angle_gamma 90.00
_space_group_name_H-M_alt 'P 4/m b m'
_space_group_IT_number 127
_space_group_name_Hall '-P 4 2ab'
loop_
_atom_site_label
_atom_site_type_symbol
_atom_site_fract_x
_atom_site_fract_y
_atom_site_fract_z
_atom_site_occupancy
Al1 Al 0.000 0.000 0.000 1
Ir1 Ir 0.143 0.357 0.000 1
Pb1 Pb 0.173 0.673 0.500 1
```

Calculated values
The total energy is -5.6211 eV per atom. The crystal system is tetragonal.


No. 5
This record from Alexandria describes crystalline AlIrPb2 at its relaxed geometry. The functional is GGA-PBE.

```
data_AlIrPb2
_cell_length_a 3.225
_cell_length_b 4.040
_cell_length_c 15.476
_cell_angle_alpha 90.00
_cell_angle_beta 90.00
_cell_angle_gamma 90.00
_space_group_name_H-M_alt 'I m m 2'
_space_group_IT_number 44
loop_
_space_group_symop_operation_xyz
'x,y,z'
'-x,-y,z'
'-x,y,z'
'x,-y,z'
'x+1/2,y+1/2,z+1/2'
'-x+1/2,-y+1/2,z+1/2'
'-x+1/2,y+1/2,z+1/2'
'x+1/2,-y+1/2,z+1/2'
loop_
_atom_site_label
_atom_site_type_symbol
_atom_site_fract_x
_atom_site_fract_y
_atom_site_fract_z
_atom_site_occupancy
Al1 Al 0.000 0.000 0.000 1
Ir1 Ir 0.000 0.500 0.915 1
Pb1 Pb 0.000 0.000 0.603 1
Pb2 Pb 0.000 0.500 0.318 1
```

Calculated values
The total energy is -4.8651 eV per atom. The crystal system is orthorhombic.


No. 6
This record from Alexandria describes crystalline AlIrPb2 at its relaxed geometry. The functional is GGA-PBE.

```
data_AlIrPb2
_cell_length_a 3.319
_cell_length_b 3.319
_cell_length_c 8.103
_cell_angle_alpha 90.00
_cell_angle_beta 90.00
_cell_angle_gamma 90.00
_space_group_name_H-M_alt 'P 4/m m m'
_space_group_IT_number 123
_space_group_name_Hall '-P 4 2'
loop_
_atom_site_label
_atom_site_type_symbol
_atom_site_fract_x
_atom_site_fract_y
_atom_site_fract_z
_atom_site_occupancy
Al1 Al 0.000 0.000 0.000 1
Ir1 Ir 0.000 0.000 0.500 1
Pb1 Pb 0.500 0.500 0.279 1
```

Calculated values
The total energy is -4.6529 eV per atom. The crystal system is tetragonal.